Model a:
NaZnPO2, optimized geometry, DFT PBE; space group = P4/mmm (123)
1.0
4.053 0.000 0.000
0.000 4.053 0.000
0.000 0.000 4.741
Na Zn P O
1 1 1 2
Direct
0.000 0.000 0.000 Na
0.500 0.500 0.500 Zn
0.500 0.500 0.000 P
0.000 0.500 0.500 O
0.500 0.000 0.500 O



Model b:
NaZnPO2, optimized geometry, DFT PBE; space group = P4/mmm (123)
1.0
4.067 0.000 0.000
0.000 4.067 0.000
0.000 0.000 5.376
Na Zn P O
1 1 1 2
Direct
0.000 0.000 0.000 Na
0.500 0.500 0.500 Zn
0.000 0.000 0.500 P
0.000 0.500 0.000 O
0.500 0.000 0.000 O



Stability ranking, top and bottom: model a is the most stable and model b is the least stable.



Model a:
NaPaO2, optimized geometry, DFT PBE; space group = P4/mmm (123)
1.0
3.025 0.000 0.000
0.000 3.025 0.000
0.000 0.000 6.223
Na Pa O
1 1 2
Direct
0.000 0.000 0.000 Na
0.000 0.000 0.500 Pa
0.500 0.500 0.287 O
0.500 0.500 0.713 O



Model b:
NaPaO2, optimized geometry, DFT PBE; space group = R-3m (166)
1.0
1.856 1.072 6.666
-1.856 1.072 6.666
0.000 -2.144 6.666
Na Pa O
1 1 2
Direct
0.000 0.000 0.000 Na
0.500 0.500 0.500 Pa
0.124 0.124 0.124 O
0.876 0.876 0.876 O



Stability ranking, top and bottom: model b is the most stable and model a is the least stable.



Model a:
NaPaO4, optimized geometry, DFT PBE; space group = I4_1/amd (141)
1.0
-2.913 2.913 4.684
2.913 -2.913 4.684
2.913 2.913 -4.684
Na Pa O
2 2 8
Direct
0.375 0.625 0.750 Na
0.625 0.375 0.250 Na
0.125 0.875 0.250 Pa
0.875 0.125 0.750 Pa
0.000 0.225 0.225 O
0.000 0.775 0.775 O
0.225 0.000 0.725 O
0.225 0.500 0.225 O
0.500 0.225 0.725 O
0.500 0.775 0.275 O
0.775 0.000 0.275 O
0.775 0.500 0.775 O



Model b:
NaPaO4, optimized geometry, DFT PBE; space group = Cm (8)
1.0
3.347 -2.008 0.000
3.347 2.008 0.000
-0.764 0.000 6.285
Na Pa O
1 1 4
Direct
0.000 0.000 0.000 Na
0.609 0.609 0.539 Pa
0.250 0.250 0.364 O
0.410 0.410 0.222 O
0.648 0.648 0.850 O
0.957 0.957 0.582 O



Stability ranking, top and bottom: model b is the most stable and model a is the least stable.